(1)
VASP calculation (PBE) on an optimized crystal structure of YTa2Zn.

Cell lengths 4.140, 4.148, 9.125 Å; angles 90.00, 90.00, 90.00 degrees
Fractional positions:
Y1 0.000 0.000 0.000
Y2 0.500 0.500 0.000
Ta1 0.000 0.500 0.288
Ta2 0.000 0.500 0.712
Ta3 0.500 0.000 0.288
Ta4 0.500 0.000 0.712
Zn1 0.000 0.000 0.500
Zn2 0.500 0.500 0.500

Summary:
- Space group: Cmmm, No. 65
- V: 19.6 Å³ per atom
- Crystal system: orthorhombic
- Energy of formation: 0.290 eV/atom
- Final energy: -7.5713 eV/atom
- Spin magnetization: 0.0 Bohr magnetons per cell


(2)
VASP calculation (PBE) on an optimized crystal structure of ScIn7.

Cell lengths 6.585, 6.585, 6.585 Å; angles 60.00, 60.00, 60.00 degrees
Fractional positions:
Sc1 0.000 0.000 0.000
In1 0.000 0.000 0.500
In2 0.000 0.500 0.000
In3 0.000 0.500 0.500
In4 0.500 0.000 0.000
In5 0.500 0.000 0.500
In6 0.500 0.500 0.000
In7 0.500 0.500 0.500

Summary:
- Space group: Fm-3m, No. 225
- V: 25.2 Å³ per atom
- Crystal system: cubic
- Energy of formation: -0.100 eV/atom
- Final energy: -3.2878 eV/atom
- Spin magnetization: 0.0 Bohr magnetons per cell


Q: Which of these has the highest final energy?
A: ScIn7